Entry 1:
SnGe2Rh2 | PBEsol | relaxed

extended XYZ file:
```
10
Lattice="3.743 0.000 0.000 0.000 3.743 0.000 0.000 0.000 12.091" Properties=species:S:1:pos:R:3 pbc="T T T"
Sn 0.000 0.000 0.000
Sn 1.871 1.871 6.045
Ge 0.000 1.871 3.023
Ge 0.000 1.871 9.068
Ge 1.871 0.000 3.023
Ge 1.871 0.000 9.068
Rh 0.000 0.000 4.620
Rh 0.000 0.000 7.471
Rh 1.871 1.871 1.425
Rh 1.871 1.871 10.665
```

Computed properties:
SG ... I4/mmm
Total magnetization ... 0.00 μB/f.u.
Energy of formation from the pure elements ... -0.282 eV/atom
ρ ... 9213 kg/m3
DFT total energy ... -6.3648 eV/atom

Entry 2:
ZrInBr2 | PBEsol | relaxed

extended XYZ file:
```
4
Lattice="3.452 0.000 0.000 0.000 4.715 0.000 -0.311 0.000 5.813" Properties=species:S:1:pos:R:3 pbc="T T T"
Zr 0.000 0.000 0.000
In 1.571 0.000 2.906
Br 0.341 2.358 4.450
Br 2.800 2.358 1.363
```

Computed properties:
E above lowest polymorph ... 355.1 meV/atom
SG ... P2/m
Uncorrected formation energy ... -0.4717 eV per atom
Total magnetization ... 0.00 μB/f.u.
ρ ... 6421 kg/m3
DFT total energy ... -4.4248 eV/atom

Entry 3:
CaTa4Sb | PBEsol | relaxed

extended XYZ file:
```
6
Lattice="0.000 3.965 3.965 3.965 0.000 3.965 3.965 3.965 0.000" Properties=species:S:1:pos:R:3 pbc="T T T"
Ca 0.000 0.000 0.000
Ta 4.981 2.950 2.950
Ta 2.950 4.981 2.950
Ta 2.950 2.950 4.981
Ta 4.981 4.981 4.981
Sb 1.983 1.983 1.983
```

Computed properties:
SG ... F-43m
Uncorrected formation energy ... 0.4639 eV per atom
Total magnetization ... 0.00 μB/f.u.
ρ ... 11793 kg/m3
DFT total energy ... -9.0185 eV/atom

Entry 4:
Zn2AgTe | PBEsol | relaxed

extended XYZ file:
```
4
Lattice="3.026 0.000 0.000 0.000 3.026 0.000 0.000 0.000 8.289" Properties=species:S:1:pos:R:3 pbc="T T T"
Zn 0.000 0.000 0.000
Zn 1.513 1.513 1.526
Ag 1.513 1.513 6.571
Te 0.000 0.000 4.130
```

Computed properties:
E above lowest polymorph ... 0.0 meV/atom
SG ... P4mm
Uncorrected formation energy ... 0.1766 eV per atom
Total magnetization ... 0.00 μB/f.u.
ρ ... 8016 kg/m3
DFT total energy ... -2.3237 eV/atom

Entry 5:
CdTeF3 | PBEsol | relaxed

extended XYZ file:
```
5
Lattice="4.534 0.000 0.000 0.000 4.534 0.000 0.000 0.000 4.534" Properties=species:S:1:pos:R:3 pbc="T T T"
Cd 0.000 0.000 0.000
Te 2.267 2.267 2.267
F 0.000 2.267 2.267
F 2.267 0.000 2.267
F 2.267 2.267 0.000
```

Computed properties:
SG ... Pm-3m
Uncorrected formation energy ... -1.0888 eV per atom
Total magnetization ... 0.00 μB/f.u.
ρ ... 5290 kg/m3
DFT total energy ... -3.1899 eV/atom

Entry 6:
RbNa3Pd | PBEsol | relaxed

extended XYZ file:
```
5
Lattice="5.642 0.000 0.000 0.000 5.642 0.000 0.000 0.000 5.642" Properties=species:S:1:pos:R:3 pbc="T T T"
Rb 0.000 0.000 0.000
Na 0.000 2.821 2.821
Na 2.821 0.000 2.821
Na 2.821 2.821 0.000
Pd 2.821 2.821 2.821
```

Computed properties:
SG ... Pm-3m
Total magnetization ... 0.00 μB/f.u.
Energy of formation from the pure elements ... 0.092 eV/atom
ρ ... 2412 kg/m3
DFT total energy ... -2.1442 eV/atom

Entry 7:
Ca2NiPb | PBEsol | relaxed

extended XYZ file:
```
4
Lattice="5.036 0.000 0.000 0.000 5.036 0.000 0.000 0.000 3.779" Properties=species:S:1:pos:R:3 pbc="T T T"
Ca 0.000 2.518 0.000
Ca 2.518 0.000 0.000
Ni 0.000 0.000 1.890
Pb 2.518 2.518 1.890
```

Computed properties:
SG ... P4/mmm
Total magnetization ... 0.00 μB/f.u.
Energy of formation from the pure elements ... -0.146 eV/atom
ρ ... 5995 kg/m3
DFT total energy ... -3.7516 eV/atom

Entry 8:
ZnCu | PBEsol | relaxed

extended XYZ file:
```
6
Lattice="2.623 0.000 0.000 -1.312 2.272 0.000 0.000 0.000 12.441" Properties=species:S:1:pos:R:3 pbc="T T T"
Zn 0.000 0.000 0.000
Zn 0.000 1.514 8.294
Zn 1.312 0.757 4.147
Cu 0.000 0.000 6.220
Cu 0.000 1.514 2.073
Cu 1.312 0.757 10.367
```

Computed properties:
SG ... R-3m
Total magnetization ... 0.00 μB/f.u.
Energy of formation from the pure elements ... -0.067 eV/atom
ρ ... 8666 kg/m3
DFT total energy ... -3.0247 eV/atom

Entry 9:
MnSbP | PBEsol | relaxed

extended XYZ file:
```
6
Lattice="3.622 0.000 0.000 0.000 3.622 0.000 0.000 0.000 6.942" Properties=species:S:1:pos:R:3 pbc="T T T"
Mn 0.905 0.905 1.388
Mn 2.716 2.716 5.554
Sb 0.905 0.905 4.370
Sb 2.716 2.716 2.572
P 0.905 2.716 0.000
P 2.716 0.905 0.000
```

Computed properties:
SG ... P4/nmm
Uncorrected formation energy ... -0.1086 eV per atom
Total magnetization ... 0.00 μB/f.u.
ρ ... 7575 kg/m3
DFT total energy ... -6.8119 eV/atom

Entry 10:
Sb2AuSe | PBEsol | relaxed

extended XYZ file:
```
16
Lattice="7.090 0.000 0.000 0.000 7.090 0.000 0.000 0.000 7.090" Properties=species:S:1:pos:R:3 pbc="T T T"
Sb 0.000 0.000 0.000
Sb 0.000 3.545 3.545
Sb 1.773 1.773 1.773
Sb 1.773 5.318 5.318
Sb 3.545 0.000 3.545
Sb 3.545 3.545 0.000
Sb 5.318 1.773 5.318
Sb 5.318 5.318 1.773
Au 1.773 1.773 5.318
Au 1.773 5.318 1.773
Au 5.318 1.773 1.773
Au 5.318 5.318 5.318
Se 0.000 0.000 3.545
Se 0.000 3.545 0.000
Se 3.545 0.000 0.000
Se 3.545 3.545 3.545
```

Computed properties:
SG ... F-43m
Uncorrected formation energy ... 0.2403 eV per atom
Total magnetization ... 0.00 μB/f.u.
ρ ... 9680 kg/m3
DFT total energy ... -3.9819 eV/atom

Entry 11:
Li2Ti2P3O12 | PBEsol | relaxed

extended XYZ file:
```
76
Lattice="12.050 0.000 0.000 0.000 8.616 0.000 0.000 0.000 8.670" Properties=species:S:1:pos:R:3 pbc="T T T"
Li 2.218 1.857 1.928
Li 2.218 6.759 6.263
Li 3.807 2.451 6.263
Li 3.807 6.166 1.928
Li 8.242 2.451 6.742
Li 8.242 6.166 2.407
Li 9.832 1.857 2.407
Li 9.832 6.759 6.742
Ti 1.354 2.182 4.650
Ti 1.354 6.435 0.315
Ti 4.671 2.126 0.315
Ti 4.671 6.490 4.650
Ti 7.379 2.126 4.020
Ti 7.379 6.490 8.355
Ti 10.695 2.182 8.355
Ti 10.695 6.435 4.020
P 0.000 3.968 2.167
P 0.000 4.648 6.502
P 1.764 0.901 7.757
P 1.764 7.715 3.422
P 4.261 3.407 3.422
P 4.261 5.209 7.757
P 6.025 0.340 6.502
P 6.025 8.276 2.167
P 7.788 3.407 0.913
P 7.788 5.209 5.248
P 10.286 0.901 5.248
P 10.286 7.715 0.913
O 0.346 1.335 8.161
O 0.346 7.281 3.826
O 0.800 3.797 5.516
O 0.800 4.820 1.181
O 1.000 3.044 2.899
O 1.000 5.573 7.234
O 1.884 0.633 3.415
O 1.884 7.983 7.750
O 2.113 1.426 6.343
O 2.113 7.190 2.008
O 2.742 1.498 0.123
O 2.742 7.118 4.458
O 3.282 2.810 4.458
O 3.282 5.806 0.123
O 3.912 2.882 2.008
O 3.912 5.735 6.343
O 4.141 3.675 7.750
O 4.141 4.941 3.415
O 5.024 1.264 7.234
O 5.024 7.352 2.899
O 5.225 0.511 1.181
O 5.225 8.105 5.516
O 5.678 2.973 3.826
O 5.678 5.643 8.161
O 6.371 2.973 0.509
O 6.371 5.643 4.844
O 6.825 0.511 3.154
O 6.825 8.105 7.489
O 7.025 1.264 5.771
O 7.025 7.352 1.436
O 7.909 3.675 5.255
O 7.909 4.941 0.920
O 8.138 2.882 2.327
O 8.138 5.735 6.662
O 8.767 2.810 8.547
O 8.767 5.806 4.212
O 9.307 1.498 4.212
O 9.307 7.118 8.547
O 9.937 1.426 6.662
O 9.937 7.190 2.327
O 10.166 0.633 0.920
O 10.166 7.983 5.255
O 11.049 3.044 1.436
O 11.049 5.573 5.771
O 11.249 3.797 7.489
O 11.249 4.820 3.154
O 11.703 1.335 4.844
O 11.703 7.281 0.509
```

Computed properties:
SG ... Pbcn
Uncorrected formation energy ... -2.5520 eV per atom
Total magnetization ... 1.01 μB/f.u.
ρ ... 2911 kg/m3
DFT total energy ... -7.8649 eV/atom

Entry 12:
CsYSe2Br | PBEsol | relaxed

extended XYZ file:
```
5
Lattice="5.276 0.000 0.000 0.000 5.276 0.000 0.000 0.000 13.931" Properties=species:S:1:pos:R:3 pbc="T T T"
Cs 0.000 0.000 0.000
Y 0.000 0.000 6.965
Se 0.000 2.638 6.965
Se 2.638 0.000 6.965
Br 2.638 2.638 0.000
```

Computed properties:
SG ... P4/mmm
Uncorrected formation energy ... -0.9829 eV per atom
Total magnetization ... 0.10 μB/f.u.
ρ ... 1968 kg/m3
DFT total energy ... -4.4499 eV/atom